1.
A relaxed structure of RbPb2AuN. Source: the Alexandria database, functional PBE.

a = 4.9368 Å, b = 4.9368 Å, c = 5.8304 Å
α = 90.00°, β = 90.00°, γ = 90.00°
With the nearest neighbours (Å) after each atom.
Fractional coordinates of all 5 atoms:
Rb 0.0000 0.0000 0.0000  2 N 2.92
Pb 0.0000 0.5000 0.5000  2 N 2.47
Pb 0.5000 0.0000 0.5000  2 N 2.47
Au 0.5000 0.5000 0.0000  4 Rb 3.49, 8 Pb 3.82
N 0.0000 0.0000 0.5000  4 Pb 2.47

Computed properties:
total magnetic moment: 0.0 μB/f.u.
ΔE_f (raw): 0.476 eV per atom
ρ: 8.3 Mg/m³

---

2.
A relaxed structure of NaBe3O. Source: the Alexandria database, functional PBE.

a = 4.5264 Å, b = 4.5264 Å, c = 4.5264 Å
α = 90.00°, β = 90.00°, γ = 90.00°
With the nearest neighbours (Å) after each atom.
Fractional coordinates of all 5 atoms:
Na 0.0000 0.0000 0.0000  6 Be 2.26
Be 0.0000 0.0000 0.5000  2 Na 2.26
Be 0.0000 0.5000 0.0000  2 Na 2.26
Be 0.5000 0.0000 0.0000  2 Na 2.26
O 0.5000 0.5000 0.5000  12 Be 3.20

Computed properties:
total magnetic moment: 0.0 μB/f.u.
ΔE_f (raw): 2.238 eV per atom
energy relative to the lowest polymorph listed for this composition: 10.01 eV/f.u.
ρ: 1.2 Mg/m³

---

3.
A relaxed structure of VCrAs2. Source: the Alexandria database, functional PBE.

a = 3.4295 Å, b = 6.2099 Å, c = 5.7543 Å
α = 90.00°, β = 90.00°, γ = 90.00°
With the nearest neighbours (Å) after each atom.
Fractional coordinates of all 8 atoms:
V 0.0000 0.0577 0.0000  6 As 2.45-2.65
V 0.0000 0.9423 0.5000  6 As 2.45-2.65
Cr 0.5000 0.4407 0.0140  6 As 2.42-2.62
Cr 0.5000 0.5593 0.5140  6 As 2.42-2.62
As 0.0000 0.3307 0.3077  2 V 2.45-2.65, 4 Cr 2.50-2.52
As 0.0000 0.6693 0.8077  2 V 2.45-2.65, 4 Cr 2.50-2.52
As 0.5000 0.1760 0.7053  2 Cr 2.42-2.62, 4 V 2.52-2.54
As 0.5000 0.8240 0.2053  2 Cr 2.42-2.62, 4 V 2.52-2.54

Computed properties:
total magnetic moment: 1.1 μB/f.u.
energy relative to the lowest polymorph listed for this composition: 0.00 eV/f.u.
energy relative to the elements: -0.34 eV per atom
ρ: 6.9 Mg/m³

---

4.
A relaxed structure of BaBe2Nb. Source: the Alexandria database, functional PBE.

a = 6.2364 Å, b = 6.2364 Å, c = 6.2364 Å
α = 104.69°, β = 104.69°, γ = 119.52°
With the nearest neighbours (Å) after each atom.
Fractional coordinates of all 8 atoms:
Ba 0.0000 0.0000 0.0000  2 Nb 3.14, 8 Be 3.25-3.29
Ba 0.7500 0.2500 0.5000  2 Nb 3.14, 8 Be 3.25-3.29
Be 0.2056 0.6250 0.0806  2 Nb 2.43
Be 0.3750 0.4556 0.5806  2 Nb 2.43
Be 0.5444 0.1250 0.9194  2 Nb 2.43
Be 0.8750 0.7944 0.4194  2 Nb 2.43
Nb 0.2500 0.7500 0.5000  4 Be 2.43
Nb 0.5000 0.5000 0.0000  4 Be 2.43

Computed properties:
total magnetic moment: 0.0 μB/f.u.
energy relative to the lowest polymorph listed for this composition: 0.05 eV/f.u.
energy relative to the elements: 1.07 eV per atom
ρ: 4.5 Mg/m³

---

5.
A relaxed structure of MnTl2Rh. Source: the Alexandria database, functional PBE.

a = 4.7478 Å, b = 4.7478 Å, c = 4.7478 Å
α = 60.00°, β = 60.00°, γ = 60.00°
With the nearest neighbours (Å) after each atom.
Fractional coordinates of all 4 atoms:
Mn 0.0000 0.0000 0.0000  8 Tl 2.91
Tl 0.2500 0.2500 0.2500  4 Mn 2.91, 4 Rh 2.91
Tl 0.7500 0.7500 0.7500  4 Rh 2.91, 4 Mn 2.91
Rh 0.5000 0.5000 0.5000  8 Tl 2.91

Computed properties:
total magnetic moment: 4.1 μB/f.u.
energy relative to the lowest polymorph listed for this composition: 0.50 eV/f.u.
energy relative to the elements: 0.30 eV per atom
ρ: 12.4 Mg/m³

---

Question: The lowest ρ belongs to which entry?
Answer: NaBe3O

---

Question: ρ of number 3 (VCrAs2)?
Answer: 6.9 Mg/m³

---

Question: Which formula does entry 2 have?
Answer: NaBe3O